Entry from the Alexandria database: crystalline SrMg2Pd at its relaxed geometry (PBEsol).

Unit cell a=5.3758 b=5.3758 c=17.3348 alpha=90.00 beta=90.00 gamma=90.00
Space group I4_1/amd (No. 141, origin choice 2)
Inequivalent atoms, fractional coordinates:
Sr: 0.0000 0.2500 0.3750 (multiplicity 4)
Mg: 0.0000 0.0000 0.0000 (multiplicity 8)
Pd: 0.0000 0.2500 0.8750 (multiplicity 4)

Computed properties:
The raw total energy comes out at -0.20449 Ry per atom. The density of states at the Fermi level comes out at 0.59 states/eV/atom.

=====

Entry from the Alexandria database: crystalline MgB2 at its relaxed geometry (PBEsol).

Unit cell a=3.0708 b=3.0708 c=3.4834 alpha=90.00 beta=90.00 gamma=120.00
Space group P6/mmm (No. 191)
Inequivalent atoms, fractional coordinates:
Mg: 0.0000 0.0000 0.0000 (multiplicity 1)
B: 0.3333 0.6667 0.5000 (multiplicity 2)

Computed properties:
The raw total energy comes out at -0.39664 Ry per atom. The density of states at the Fermi level comes out at 0.26 states/eV/atom.

=====

Entry from the Alexandria database: crystalline Zn3WCl at its relaxed geometry (PBEsol).

Unit cell a=5.0147 b=5.0147 c=5.0147 alpha=90.00 beta=90.00 gamma=90.00
Space group Pm-3m (No. 221)
Inequivalent atoms, fractional coordinates:
Zn: 0.0000 0.0000 0.5000 (multiplicity 3)
W: 0.0000 0.0000 0.0000 (multiplicity 1)
Cl: 0.5000 0.5000 0.5000 (multiplicity 1)

Computed properties:
The raw total energy comes out at -0.21352 Ry per atom. The density of states at the Fermi level comes out at 0.74 states/eV/atom.

=====

Entry from the Alexandria database: crystalline LiTe2F at its relaxed geometry (PBEsol).

Unit cell a=6.6115 b=6.6115 c=6.6115 alpha=90.00 beta=90.00 gamma=90.00
Space group Fm-3m (No. 225)
Inequivalent atoms, fractional coordinates:
Li: 0.0000 0.0000 0.0000 (multiplicity 4)
Te: 0.2500 0.2500 0.2500 (multiplicity 8)
F: 0.0000 0.0000 0.5000 (multiplicity 4)

Computed properties:
The raw total energy comes out at -0.25155 Ry per atom. The density of states at the Fermi level comes out at 0.31 states/eV/atom.

=====

Entry from the Alexandria database: crystalline CdCoAg2 at its relaxed geometry (PBEsol).

Unit cell a=2.8206 b=2.8206 c=27.3986 alpha=90.00 beta=90.00 gamma=120.00
Space group R3m (No. 160, hexagonal axes)
Inequivalent atoms, fractional coordinates:
Cd: 0.0000 0.0000 0.0000 (multiplicity 3)
Co: 0.0000 0.0000 0.2537 (multiplicity 3)
Ag: 0.0000 0.0000 0.5103 (multiplicity 3)
Ag: 0.0000 0.0000 0.7572 (multiplicity 3)

Computed properties:
The raw total energy comes out at -0.26758 Ry per atom. The density of states at the Fermi level comes out at 0.70 states/eV/atom.

=====

Entry from the Alexandria database: crystalline Sn2BiPb2 at its relaxed geometry (PBEsol).

Unit cell a=4.1647 b=4.1647 c=17.3786 alpha=90.00 beta=90.00 gamma=90.00
Space group I4/mmm (No. 139)
Inequivalent atoms, fractional coordinates:
Sn: 0.0000 0.5000 0.2500 (multiplicity 4)
Bi: 0.0000 0.0000 0.0000 (multiplicity 2)
Pb: 0.0000 0.0000 0.4021 (multiplicity 4)

Computed properties:
The raw total energy comes out at -0.29932 Ry per atom. The density of states at the Fermi level comes out at 0.47 states/eV/atom.

=====

Entry from the Alexandria database: crystalline MgSiSn2Pd at its relaxed geometry (PBEsol).

Unit cell a=5.0432 b=5.0432 c=4.8694 alpha=90.00 beta=90.00 gamma=90.00
Space group P4/mmm (No. 123)
Inequivalent atoms, fractional coordinates:
Mg: 0.0000 0.0000 0.0000 (multiplicity 1)
Si: 0.5000 0.5000 0.0000 (multiplicity 1)
Sn: 0.0000 0.5000 0.5000 (multiplicity 2)
Pd: 0.0000 0.0000 0.5000 (multiplicity 1)

Computed properties:
The raw total energy comes out at -0.30376 Ry per atom. The density of states at the Fermi level comes out at 0.54 states/eV/atom.